Compound: Lu2OsPd
Source: Alexandria
Functional: PBE
Structure: relaxed

Cell and atoms, written as POSCAR:
```
Lu2OsPd
1.0
4.773 0.000 0.000
2.386 4.133 0.000
2.386 1.378 3.897
Lu Os Pd
2 1 1
Direct
0.250 0.250 0.250
0.750 0.750 0.750
0.500 0.500 0.500
0.000 0.000 0.000
```

Output
* space-group type: Fm-3m
* size of the total moment: 0.00 μB/cell
* energy relative to the elements: -255 kJ/mol of formula units
* calculated volume: 77 Å³/cell